Run A
Computed, not measured: a relaxed structure of SrIrRu at the PBE level of DFT.

a = 5.8039 Å, b = 7.5257 Å, c = 7.1479 Å
α = 90.00°, β = 90.00°, γ = 112.68°
Element x y z (fractional)
Ru 0.9108 0.8215 0.0071
Ir 0.7405 0.9809 0.7500
Ru 0.0892 0.1785 0.9929
Ir 0.2405 0.9809 0.7500
Ir 0.7595 0.0191 0.2500
Sr 0.3427 0.6854 0.0142
Sr 0.6573 0.3146 0.9858
Ir 0.2595 0.0191 0.2500
Sr 0.8427 0.6854 0.4858
Sr 0.1573 0.3146 0.5142
Ru 0.5892 0.1785 0.5071
Ru 0.4108 0.8215 0.4929

---

Run B
Computed, not measured: a relaxed structure of SrIrRu at the PBE level of DFT.

a = 6.9052 Å, b = 6.9052 Å, c = 2.9899 Å
α = 77.50°, β = 77.50°, γ = 25.01°
Element x y z (fractional)
Sr 0.6652 0.6652 0.3348
Ir 0.9747 0.9747 0.0253
Ru 0.3601 0.3601 0.6399

---

Run C
Computed, not measured: a relaxed structure of SrIrRu at the PBE level of DFT.

a = 4.5375 Å, b = 4.5375 Å, c = 4.5375 Å
α = 60.00°, β = 60.00°, γ = 60.00°
Element x y z (fractional)
Sr 0.0000 0.0000 0.0000
Ir 0.5000 0.5000 0.5000
Ru 0.7500 0.7500 0.7500

---

Run D
Computed, not measured: a relaxed structure of SrIrRu at the PBE level of DFT.

a = 6.0080 Å, b = 6.0080 Å, c = 6.0080 Å
α = 151.92°, β = 142.00°, γ = 47.91°
Element x y z (fractional)
Sr 0.3352 0.3352 0.0000
Ru 0.6191 0.6191 0.0000
Ir 0.0457 0.0457 0.0000

---

Relative energy table, unit meV per atom: run A 159; run B 176; run C 597; run D 0

---

Run A
Computed, not measured: a relaxed structure of TaIrRu2 at the PBE level of DFT.

a = 2.7778 Å, b = 2.7778 Å, c = 7.8120 Å
α = 90.00°, β = 90.00°, γ = 90.00°
Element x y z (fractional)
Ru 0.0000 0.0000 0.0058
Ta 0.0000 0.0000 0.5009
Ru 0.5000 0.5000 0.2336
Ir 0.5000 0.5000 0.7597

---

Run B
Computed, not measured: a relaxed structure of TaIrRu2 at the PBE level of DFT.

a = 9.2405 Å, b = 9.2405 Å, c = 9.2405 Å
α = 17.26°, β = 17.26°, γ = 17.26°
Element x y z (fractional)
Ru 0.4971 0.4971 0.4971
Ru 0.0029 0.0029 0.0029
Ir 0.7500 0.7500 0.7500
Ta 0.2500 0.2500 0.2500

---

Relative energy table, unit meV per atom: run A 0; run B 195

---

Run A
Computed, not measured: a relaxed structure of TaIrRu2 at the PBE level of DFT.

a = 4.7900 Å, b = 4.7900 Å, c = 4.7550 Å
α = 79.98°, β = 79.98°, γ = 34.16°
Element x y z (fractional)
Ta 0.5003 0.5003 0.4972
Ru 0.0011 0.0011 0.9912
Ru 0.7468 0.7468 0.7673
Ir 0.2518 0.2518 0.2442

---

Run B
Computed, not measured: a relaxed structure of TaIrRu2 at the PBE level of DFT.

a = 4.4455 Å, b = 4.4455 Å, c = 4.4455 Å
α = 60.00°, β = 60.00°, γ = 60.00°
Element x y z (fractional)
Ta 0.7500 0.7500 0.7500
Ru 0.2500 0.2500 0.2500
Ru 0.0000 0.0000 0.0000
Ir 0.5000 0.5000 0.5000

---

Run C
Computed, not measured: a relaxed structure of TaIrRu2 at the PBE level of DFT.

a = 3.8972 Å, b = 3.8975 Å, c = 3.9330 Å
α = 90.00°, β = 90.00°, γ = 90.00°
Element x y z (fractional)
Ru 0.0000 0.0000 0.0000
Ta 0.5000 0.0000 0.5000
Ir 0.0000 0.5000 0.5000
Ru 0.5000 0.5000 0.0000

---

Run D
Computed, not measured: a relaxed structure of TaIrRu2 at the PBE level of DFT.

a = 3.2978 Å, b = 3.2978 Å, c = 5.6443 Å
α = 90.00°, β = 90.00°, γ = 90.00°
Element x y z (fractional)
Ru 0.0000 0.0000 0.5082
Ir 0.5000 0.5000 0.7500
Ru 0.0000 0.0000 0.9918
Ta 0.5000 0.5000 0.2500

---

Relative energy table, unit meV per atom: run A 168; run B 474; run C 0; run D 398

---

Run A
Computed, not measured: a relaxed structure of TaIrRu2 at the PBE level of DFT.

a = 9.2085 Å, b = 9.2085 Å, c = 9.2085 Å
α = 17.34°, β = 17.34°, γ = 17.34°
Element x y z (fractional)
Ir 0.7478 0.7478 0.7478
Ta 0.4994 0.4994 0.4994
Ru 0.2540 0.2540 0.2540
Ru 0.9988 0.9988 0.9988

---

Run B
Computed, not measured: a relaxed structure of TaIrRu2 at the PBE level of DFT.

a = 4.8012 Å, b = 4.8012 Å, c = 4.7993 Å
α = 131.99°, β = 132.00°, γ = 70.19°
Element x y z (fractional)
Ru 0.9999 0.0000 0.0000
Ir 0.2497 0.7503 0.5000
Ta 0.5001 0.5000 0.0000
Ru 0.7501 0.2499 0.5000

---

Run C
Computed, not measured: a relaxed structure of TaIrRu2 at the PBE level of DFT.

a = 4.4227 Å, b = 4.4227 Å, c = 4.4227 Å
α = 60.00°, β = 60.00°, γ = 60.00°
Element x y z (fractional)
Ir 0.5000 0.5000 0.5000
Ru 0.7500 0.7500 0.7500
Ta 0.0000 0.0000 0.0000
Ru 0.2500 0.2500 0.2500

---

Run D
Computed, not measured: a relaxed structure of TaIrRu2 at the PBE level of DFT.

a = 3.8204 Å, b = 2.8081 Å, c = 6.2885 Å
α = 63.45°, β = 90.00°, γ = 90.00°
Element x y z (fractional)
Ru 0.5000 0.2697 0.2306
Ir 0.5000 0.7463 0.7531
Ta 0.0000 0.4989 0.5010
Ru 0.0000 0.9850 0.0153

---

Relative energy table, unit meV per atom: run A 330; run B 0; run C 417; run D 85